Entry 1:
First-principles (PBE) data for an optimized crystal structure of Ba14Ag6Rh3, as listed in the Alexandria database.

Cell and atoms, written as CIF:
```
data_Ba14Ag6Rh3
_space_group_name_H-M_alt 'P 3'
_space_group_IT_number 143
_cell_length_a 11.7298
_cell_length_b 11.7298
_cell_length_c 8.0241
_cell_angle_alpha 90.00
_cell_angle_beta 90.00
_cell_angle_gamma 120.00
loop_
_space_group_symop_operation_xyz
'x,y,z'
'-y,x-y,z'
'-x+y,-x,z'
loop_
_atom_site_label
_atom_site_type_symbol
_atom_site_fract_x
_atom_site_fract_y
_atom_site_fract_z
Ba1 Ba 0.0000 0.0000 0.0000
Ba2 Ba 0.0869 0.5437 0.7072
Ba3 Ba 0.2073 0.4151 0.2415
Ba4 Ba 0.2478 0.1241 0.5436
Ba5 Ba 0.4189 0.2091 0.0340
Ba6 Ba 0.6667 0.3333 0.4883
Ag1 Ag 0.1470 0.2949 0.8178
Ag2 Ag 0.5198 0.4791 0.3060
Rh1 Rh 0.0000 0.0000 0.3590
Rh2 Rh 0.3333 0.6667 0.4702
Rh3 Rh 0.6667 0.3333 0.8500
```

Results
Density in g cm⁻³: 5.0
Energy relative to the elements in eV per atom: -0.18
Spin magnetization in Bohr magnetons per cell: 0.00
Total DFT energy (no corrections) in eV per atom: -3.051
V in Å³/cell: 956

Entry 2:
First-principles (PBE) data for an optimized crystal structure of LaCdIr2, as listed in the Alexandria database.

Cell and atoms, written as CIF:
```
data_LaCdIr2
_space_group_name_H-M_alt 'C 1 2/m 1'
_space_group_IT_number 12
_cell_length_a 8.218
_cell_length_b 4.748
_cell_length_c 5.644
_cell_angle_alpha 90.00
_cell_angle_beta 118.93
_cell_angle_gamma 90.00
loop_
_space_group_symop_operation_xyz
'x,y,z'
'-x,-y,-z'
'-x,y,-z'
'x,-y,z'
'x+1/2,y+1/2,z'
'-x+1/2,-y+1/2,-z'
'-x+1/2,y+1/2,-z'
'x+1/2,-y+1/2,z'
loop_
_atom_site_label
_atom_site_type_symbol
_atom_site_fract_x
_atom_site_fract_y
_atom_site_fract_z
La1 La 0.000 0.000 0.000
Cd1 Cd 0.000 0.500 0.500
Ir1 Ir 0.178 0.000 0.534
```

Results
Density in g cm⁻³: 11.0
Energy relative to the elements in eV per atom: -0.26
Spin magnetization in Bohr magnetons per cell: 0.00
Total DFT energy (no corrections) in eV per atom: -6.156
V in Å³/cell: 193